[1]
# PBE AgW5, optimized geometry
data_AgW5
_chemical_formula_sum 'Ag1 W5'
_cell_length_a 5.3504
_cell_length_b 5.3504
_cell_length_c 4.4761
_cell_angle_alpha 90.00
_cell_angle_beta 90.00
_cell_angle_gamma 120.00
_symmetry_space_group_name_H-M 'P 6/m m m'
_symmetry_Int_Tables_number 191
_symmetry_space_group_name_Hall '-P 6 2'
loop_
_atom_site_label
_atom_site_fract_x
_atom_site_fract_y
_atom_site_fract_z
Ag1 0.0000 0.0000 0.0000
W1 0.0000 0.5000 0.5000
W2 0.3333 0.6667 0.0000
# Formation energy from the elements ... 76 kJ/mol of atoms
# Energy ... -62.9 eV per formula unit

[2]
# PBE Ce4Pm3PrSe8, optimized geometry
data_Ce4Pm3PrSe8
_chemical_formula_sum 'Ce12 Pm9 Pr3 Se24'
_cell_length_a 8.4081
_cell_length_b 8.4081
_cell_length_c 20.6860
_cell_angle_alpha 90.00
_cell_angle_beta 90.00
_cell_angle_gamma 120.00
_symmetry_space_group_name_H-M 'R -3 m'
_symmetry_Int_Tables_number 166
_symmetry_space_group_name_Hall '-R 3 2"'
loop_
_atom_site_label
_atom_site_fract_x
_atom_site_fract_y
_atom_site_fract_z
Ce1 0.0000 0.0000 0.0000
Ce2 0.0000 0.5000 0.0000
Pm1 0.0000 0.5000 0.5000
Pr1 0.0000 0.0000 0.5000
Se1 0.0000 0.0000 0.2497
Se2 0.0027 0.5013 0.7497
# Formation energy (no corrections) ... -1.835 eV per atom
# Energy ... -100.0 eV per formula unit

Q: What is the energy in the first record?
A: -62.9 eV per formula unit